Entry 1:
A geometry-optimized CePm2In3 structure. Source: the Alexandria database, functional GGA-PBE.

```
CePm2In3
1.0
-2.935 -1.838 -0.785
1.957 -2.359 -1.793
1.536 -7.230 11.188
Pm Ce In
2 1 3
Direct
0.500 0.500 0.165
0.500 0.500 0.835
0.500 0.500 0.500
0.000 0.000 0.000
0.000 0.000 0.332
0.000 0.000 0.668
```

For the offset from the most stable computed form, the calculation gives 0 meV per atom. The formation energy is -0.44 eV per atom. Its total magnetization is 0.1539 μB/atom. Its uncorrected energy is -4.384 eV per atom.



Entry 2:
A geometry-optimized CePm12In3 structure. Source: the Alexandria database, functional GGA-PBE.

```
CePm12In3
1.0
-0.618 -0.394 4.910
-3.705 -3.224 -0.725
13.248 -15.322 0.437
Pm In Ce
12 3 1
Direct
0.500 0.000 0.623
0.000 0.500 0.377
0.500 0.500 0.746
0.500 0.500 0.500
0.500 0.500 0.000
0.000 0.500 0.130
0.500 0.500 0.254
0.500 0.000 0.870
0.000 0.500 0.623
0.000 0.500 0.870
0.500 0.000 0.130
0.500 0.000 0.377
0.000 0.000 0.745
0.000 0.000 0.500
0.000 0.000 0.255
0.000 0.000 0.000
```

The formation energy is -0.18 eV per atom. Its total magnetization is 0.0664 μB/atom. Its uncorrected energy is -4.628 eV per atom.



Entry 3:
A geometry-optimized CePm12In6 structure. Source: the Alexandria database, functional GGA-PBE.

```
CePm12In6
1.0
8.293 0.624 0.747
-0.641 8.291 0.747
-0.641 -0.747 8.291
In Pm Ce
6 12 1
Direct
0.123 0.740 0.277
0.740 0.277 0.123
0.877 0.260 0.723
0.277 0.123 0.740
0.260 0.723 0.877
0.723 0.877 0.260
0.927 0.880 0.620
0.193 0.468 0.565
0.620 0.927 0.880
0.073 0.120 0.380
0.468 0.565 0.193
0.532 0.435 0.807
0.565 0.193 0.468
0.435 0.807 0.532
0.380 0.073 0.120
0.880 0.620 0.927
0.120 0.380 0.073
0.807 0.532 0.435
0.000 0.000 0.000
```

The formation energy is -0.22 eV per atom. Its total magnetization is 0.0534 μB/atom. Its uncorrected energy is -4.397 eV per atom.



Entry 4:
A geometry-optimized CePm6In5 structure. Source: the Alexandria database, functional GGA-PBE.

```
CePm6In5
1.0
-4.985 0.977 -0.536
-6.917 -6.633 3.578
-3.470 0.359 8.582
In Pm Ce
5 6 1
Direct
0.000 0.329 0.342
0.500 0.154 0.691
0.500 0.846 0.309
0.500 0.500 0.000
0.000 0.671 0.658
0.742 0.428 0.659
0.258 0.572 0.341
0.258 0.912 0.659
0.765 0.735 0.000
0.742 0.088 0.341
0.235 0.265 0.000
0.000 0.000 0.000
```

The formation energy is -0.38 eV per atom. Its total magnetization is 0.1506 μB/atom. Its uncorrected energy is -4.388 eV per atom.



Entry 5:
A geometry-optimized Ce3Pm2In4 structure. Source: the Alexandria database, functional GGA-PBE.

```
Ce3Pm2In4
1.0
-3.658 2.662 2.424
-5.308 -0.775 -1.654
-1.718 -7.731 6.118
Pm In Ce
2 4 3
Direct
0.361 0.298 0.783
0.639 0.702 0.217
0.959 0.046 0.343
0.041 0.954 0.657
0.318 0.354 0.109
0.682 0.646 0.891
0.000 0.000 0.000
0.726 0.605 0.558
0.274 0.395 0.442
```

The formation energy is -0.34 eV per atom. Its total magnetization is 0.3202 μB/atom. Its uncorrected energy is -4.587 eV per atom.



Entry 6:
A geometry-optimized Ce2PmIn2 structure. Source: the Alexandria database, functional GGA-PBE.

```
Ce2PmIn2
1.0
5.313 0.000 0.000
2.657 5.475 1.040
0.000 0.191 9.556
Ce In Pm
4 4 2
Direct
0.383 0.234 0.422
0.431 0.137 0.149
0.569 0.863 0.851
0.617 0.766 0.578
0.060 0.879 0.364
0.940 0.121 0.636
0.132 0.736 0.068
0.868 0.264 0.932
0.738 0.523 0.245
0.262 0.477 0.755
```

For the offset from the most stable computed form, the calculation gives 0 meV per atom. The formation energy is -0.27 eV per atom. Its total magnetization is 0.2917 μB/atom. Its uncorrected energy is -4.692 eV per atom.



Entry 7:
A geometry-optimized CePm2In4 structure. Source: the Alexandria database, functional GGA-PBE.

```
CePm2In4
1.0
0.986 5.250 -1.030
-2.188 -0.559 -4.949
-5.922 -0.593 5.675
Pm Ce In
2 1 4
Direct
0.256 0.256 0.512
0.744 0.744 0.488
0.000 0.000 0.000
0.885 0.385 0.769
0.615 0.115 0.231
0.115 0.615 0.231
0.385 0.885 0.769
```

The formation energy is -0.27 eV per atom. Its total magnetization is 0.1133 μB/atom. Its uncorrected energy is -4.039 eV per atom.



Entry 8:
A geometry-optimized CePmIn structure. Source: the Alexandria database, functional GGA-PBE.

```
CePmIn
1.0
-4.462 -1.349 0.062
1.167 -3.970 -2.362
0.624 -1.695 7.963
Pm In Ce
2 2 2
Direct
0.750 0.736 0.972
0.250 0.264 0.028
0.750 0.096 0.692
0.250 0.904 0.308
0.250 0.556 0.611
0.750 0.444 0.389
```

For the offset from the most stable computed form, the calculation gives 32 meV per atom. The formation energy is -0.26 eV per atom. Its total magnetization is 0.2220 μB/atom. Its uncorrected energy is -4.733 eV per atom.



Entry 9:
A geometry-optimized CePm3In4 structure. Source: the Alexandria database, functional GGA-PBE.

```
CePm3In4
1.0
-2.460 2.275 1.871
-2.786 -2.588 -0.516
3.877 -6.847 13.424
In Ce Pm
4 1 3
Direct
0.000 0.000 0.872
0.000 0.000 0.128
0.000 0.000 0.625
0.000 0.000 0.375
0.500 0.500 0.000
0.500 0.500 0.252
0.500 0.500 0.500
0.500 0.500 0.748
```

For the offset from the most stable computed form, the calculation gives 0 meV per atom. The formation energy is -0.45 eV per atom. Its total magnetization is 0.1187 μB/atom. Its uncorrected energy is -4.343 eV per atom.



Entry 10:
A geometry-optimized CePmIn structure. Source: the Alexandria database, functional GGA-PBE.

```
CePmIn
1.0
-1.678 -1.507 3.985
3.712 -2.618 0.573
2.960 8.605 1.874
Ce In Pm
2 2 2
Direct
0.000 0.500 0.000
0.500 0.000 0.000
0.365 0.365 0.729
0.635 0.635 0.271
0.821 0.821 0.642
0.179 0.179 0.358
```

For the offset from the most stable computed form, the calculation gives 30 meV per atom. The formation energy is -0.26 eV per atom. Its total magnetization is 0.0944 μB/atom. Its uncorrected energy is -4.735 eV per atom.



Entry 11:
A geometry-optimized Ce3PmIn4 structure. Source: the Alexandria database, functional GGA-PBE.

```
Ce3PmIn4
1.0
4.149 0.000 0.000
0.000 4.149 0.000
0.000 0.000 13.086
Ce In Pm
3 4 1
Direct
0.500 0.500 0.742
0.500 0.500 0.258
0.500 0.500 0.500
0.000 0.000 0.126
0.000 0.000 0.874
0.000 0.000 0.623
0.000 0.000 0.377
0.500 0.500 0.000
```

The formation energy is -0.35 eV per atom. Its total magnetization is 0.4808 μB/atom. Its uncorrected energy is -4.541 eV per atom.



Entry 12:
A geometry-optimized CePm2In2 structure. Source: the Alexandria database, functional GGA-PBE.

```
CePm2In2
1.0
-2.665 -1.776 1.375
4.145 0.224 8.320
-4.328 7.998 1.941
Ce Pm In
2 4 4
Direct
0.000 0.000 0.000
0.000 0.500 0.500
0.000 0.123 0.623
0.000 0.877 0.377
0.000 0.377 0.123
0.000 0.623 0.877
0.500 0.825 0.675
0.500 0.325 0.825
0.500 0.175 0.325
0.500 0.675 0.175
```

The formation energy is -0.22 eV per atom. Its total magnetization is 0.2869 μB/atom. Its uncorrected energy is -4.403 eV per atom.



Entry 13:
A geometry-optimized CePm3In4 structure. Source: the Alexandria database, functional GGA-PBE.

```
CePm3In4
1.0
-1.551 0.937 -3.004
2.201 -6.271 -3.093
-8.411 -1.581 5.899
In Ce Pm
4 1 3
Direct
0.372 0.165 0.745
0.627 0.420 0.255
0.373 0.580 0.745
0.628 0.835 0.255
0.500 0.000 0.000
0.218 0.218 0.436
0.782 0.782 0.564
0.000 0.500 0.000
```

For the offset from the most stable computed form, the calculation gives 182 meV per atom. The formation energy is -0.27 eV per atom. Its total magnetization is 0.2121 μB/atom. Its uncorrected energy is -4.161 eV per atom.



Entry 14:
A geometry-optimized Ce3Pm2In2 structure. Source: the Alexandria database, functional GGA-PBE.

```
Ce3Pm2In2
1.0
4.808 0.000 0.000
-2.404 5.413 -0.372
0.000 -0.203 7.771
Ce Pm In
3 2 2
Direct
0.500 0.000 0.000
0.617 0.234 0.434
0.383 0.766 0.566
0.782 0.564 0.846
0.218 0.436 0.154
0.917 0.835 0.277
0.083 0.165 0.723
```

The formation energy is -0.19 eV per atom. Its total magnetization is 0.3879 μB/atom. Its uncorrected energy is -4.877 eV per atom.



Entry 15:
A geometry-optimized Ce2PmIn4 structure. Source: the Alexandria database, functional GGA-PBE.

```
Ce2PmIn4
1.0
-4.087 -2.718 0.283
2.344 -2.995 5.087
-4.100 6.338 1.656
In Pm Ce
4 1 2
Direct
0.000 0.246 0.492
0.000 0.754 0.508
0.500 0.356 0.713
0.500 0.644 0.287
0.000 0.500 0.000
0.500 0.098 0.197
0.500 0.902 0.803
```

For the offset from the most stable computed form, the calculation gives 247 meV per atom. The formation energy is 0.02 eV per atom. Its total magnetization is 0.3689 μB/atom. Its uncorrected energy is -3.918 eV per atom.



Entry 16:
A geometry-optimized Ce2Pm2In3 structure. Source: the Alexandria database, functional GGA-PBE.

```
Ce2Pm2In3
1.0
0.141 -4.462 1.127
2.960 -0.334 -1.691
6.184 0.528 10.719
Pm In Ce
2 3 2
Direct
0.574 0.500 0.853
0.426 0.500 0.147
0.853 0.000 0.295
0.000 0.000 0.000
0.147 0.000 0.705
0.716 0.500 0.568
0.284 0.500 0.432
```

The formation energy is -0.35 eV per atom. Its total magnetization is 0.2054 μB/atom. Its uncorrected energy is -4.576 eV per atom.



Entry 17:
A geometry-optimized Ce3PmIn3 structure. Source: the Alexandria database, functional GGA-PBE.

```
Ce3PmIn3
1.0
-2.874 3.409 2.257
-7.636 -5.589 -1.281
5.247 -0.830 7.935
In Ce Pm
6 6 2
Direct
0.750 0.609 0.540
0.250 0.540 0.931
0.750 0.931 0.391
0.250 0.391 0.460
0.250 0.069 0.609
0.750 0.460 0.069
0.750 0.777 0.998
0.250 0.998 0.222
0.750 0.002 0.778
0.250 0.223 0.002
0.250 0.778 0.777
0.750 0.222 0.223
0.750 0.333 0.667
0.250 0.667 0.333
```

The formation energy is -0.24 eV per atom. Its total magnetization is 0.4113 μB/atom. Its uncorrected energy is -4.635 eV per atom.



Entry 18:
A geometry-optimized CePm14In structure. Source: the Alexandria database, functional GGA-PBE.

```
CePm14In
1.0
-1.240 7.078 -1.176
-5.473 -4.757 -0.660
-2.580 1.412 11.217
Pm Ce In
14 1 1
Direct
0.335 0.665 0.500
0.326 0.162 0.500
0.663 0.835 0.237
0.663 0.835 0.763
0.169 0.831 0.239
0.165 0.337 0.763
0.838 0.674 0.500
0.165 0.337 0.237
0.828 0.649 0.000
0.666 0.334 0.259
0.836 0.164 0.500
0.666 0.334 0.741
0.351 0.172 0.000
0.169 0.831 0.761
0.826 0.174 0.000
0.335 0.665 0.000
```

The formation energy is -0.02 eV per atom. Its total magnetization is 0.0835 μB/atom. Its uncorrected energy is -4.719 eV per atom.



Entry 19:
A geometry-optimized CePmIn structure. Source: the Alexandria database, functional GGA-PBE.

```
CePmIn
1.0
-2.270 2.306 -0.245
-3.345 -3.536 -2.303
0.024 0.592 5.352
Ce In Pm
1 1 1
Direct
0.166 0.000 0.000
0.666 0.667 0.333
0.168 0.333 0.667
```

For the offset from the most stable computed form, the calculation gives 166 meV per atom. The formation energy is -0.12 eV per atom. Its total magnetization is 0.2800 μB/atom. Its uncorrected energy is -4.599 eV per atom.



Entry 20:
A geometry-optimized Ce2PmIn9 structure. Source: the Alexandria database, functional GGA-PBE.

```
Ce2PmIn9
1.0
4.703 0.000 0.000
0.000 4.703 0.000
0.000 0.000 14.116
In Pm Ce
9 1 2
Direct
0.500 0.000 0.167
0.500 0.000 0.833
0.500 0.500 0.000
0.500 0.500 0.334
0.500 0.000 0.500
0.000 0.500 0.833
0.000 0.500 0.167
0.500 0.500 0.666
0.000 0.500 0.500
0.000 0.000 0.000
0.000 0.000 0.667
0.000 0.000 0.333
```

The formation energy is -0.43 eV per atom. Its total magnetization is 0.1250 μB/atom. Its uncorrected energy is -3.871 eV per atom.